BaHg3Ir | PBE | relaxed

## Properties
DOS at the Fermi energy: 3.19 states/eV/f.u.
formation enthalpy at 0 K: -0.19 eV/atom
theoretical density: 10.36 g cm⁻³

a b c (Å): 5.305 5.305 5.305
angles (deg): 90.00 90.00 90.00
Sites, in units of the cell vectors:
Ir 0.000 0.000 0.000
Hg 0.000 0.500 0.000
Hg 0.000 0.000 0.500
Hg 0.500 0.000 0.000
Ba 0.500 0.500 0.500

=====

KNi2Rh2 | PBE | relaxed

## Properties
DOS at the Fermi energy: 7.68 states/eV/f.u.
formation enthalpy at 0 K: 0.37 eV/atom
theoretical density: 7.60 g cm⁻³

a b c (Å): 7.764 7.764 2.626
angles (deg): 90.00 90.00 90.00
Sites, in units of the cell vectors:
Ni 0.172 0.672 0.500
Ni 0.672 0.828 0.500
Ni 0.828 0.328 0.500
Ni 0.328 0.172 0.500
K 0.000 0.000 0.000
K 0.500 0.500 0.000
Rh 0.379 0.879 0.000
Rh 0.879 0.621 0.000
Rh 0.621 0.121 0.000
Rh 0.121 0.379 0.000

=====

Nb2BiOs2 | PBE | relaxed

## Properties
DOS at the Fermi energy: 4.35 states/eV/f.u.
formation enthalpy at 0 K: 0.10 eV/atom
theoretical density: 13.78 g cm⁻³

a b c (Å): 7.824 7.824 3.052
angles (deg): 90.00 90.00 90.00
Sites, in units of the cell vectors:
Nb 0.151 0.651 0.500
Nb 0.651 0.849 0.500
Nb 0.849 0.349 0.500
Nb 0.349 0.151 0.500
Os 0.366 0.866 0.000
Os 0.866 0.634 0.000
Os 0.634 0.134 0.000
Os 0.134 0.366 0.000
Bi 0.000 0.000 0.000
Bi 0.500 0.500 0.000

=====

Ac2CoGe4Ir3 | PBE | relaxed

## Properties
DOS at the Fermi energy: 7.75 states/eV/f.u.
formation enthalpy at 0 K: -0.66 eV/atom
theoretical density: 11.70 g cm⁻³

a b c (Å): 4.392 4.392 10.158
angles (deg): 90.00 90.00 90.00
Sites, in units of the cell vectors:
Ac 0.500 0.000 0.250
Ac 0.000 0.500 0.750
Co 0.500 0.500 0.500
Ge 0.500 0.500 0.000
Ge 0.000 0.000 0.000
Ge 0.500 0.000 0.620
Ge 0.000 0.500 0.380
Ir 0.000 0.000 0.500
Ir 0.500 0.000 0.873
Ir 0.000 0.500 0.127

=====

BeCu2Ir | PBE | relaxed

## Properties
DOS at the Fermi energy: 2.32 states/eV/f.u.
formation enthalpy at 0 K: 0.00 eV/atom
theoretical density: 11.51 g cm⁻³

a b c (Å): 3.965 2.671 4.610
angles (deg): 75.93 90.00 90.00
Sites, in units of the cell vectors:
Be 0.500 0.750 0.750
Ir 0.500 0.250 0.250
Cu 0.000 0.903 0.982
Cu 0.000 0.597 0.518

=====

ThCo2TcP2 | PBE | relaxed

## Properties
DOS at the Fermi energy: 4.34 states/eV/f.u.
formation enthalpy at 0 K: -0.71 eV/atom
theoretical density: 9.49 g cm⁻³

a b c (Å): 3.988 3.988 6.479
angles (deg): 90.00 90.00 120.00
Sites, in units of the cell vectors:
Th 0.000 0.000 0.000
Co 0.667 0.333 0.306
Co 0.333 0.667 0.694
Tc 0.000 0.000 0.500
P 0.667 0.333 0.683
P 0.333 0.667 0.317

=====

ReAsS2Cl | PBE | relaxed

## Properties
ΔE_f (raw): 6.11 eV per formula unit
DOS at the Fermi energy: 2.30 states/eV/f.u.
theoretical density: 5.32 g cm⁻³

a b c (Å): 4.876 4.876 4.736
angles (deg): 90.00 90.00 90.00
Sites, in units of the cell vectors:
Re 0.500 0.500 0.500
As 0.000 0.000 0.000
S 0.000 0.500 0.000
S 0.500 0.000 0.000
Cl 0.000 0.000 0.500

=====

MoPtCl2 | PBE | relaxed

## Properties
ΔE_f (raw): 1.02 eV per formula unit
DOS at the Fermi energy: 3.62 states/eV/f.u.
theoretical density: 7.26 g cm⁻³

a b c (Å): 6.801 6.801 6.801
angles (deg): 155.50 140.50 47.04
Sites, in units of the cell vectors:
Mo 0.503 0.503 0.000
Pt 0.329 0.829 0.500
Cl 0.001 0.001 0.000
Cl 0.668 0.168 0.500

=====

CaMnNi2 | PBE | relaxed

## Properties
DOS at the Fermi energy: 2.84 states/eV/f.u.
formation enthalpy at 0 K: 0.35 eV/atom
theoretical density: 4.27 g cm⁻³

a b c (Å): 4.527 4.527 8.672
angles (deg): 74.87 74.87 90.00
Sites, in units of the cell vectors:
Ni 0.828 0.125 0.250
Ni 0.922 0.625 0.250
Ni 0.375 0.172 0.750
Ni 0.875 0.078 0.750
Ca 0.500 0.500 0.000
Ca 0.250 0.750 0.500
Mn 0.000 0.000 0.000
Mn 0.750 0.250 0.500

=====

LiSm2Fe | PBE | relaxed

## Properties
DOS at the Fermi energy: 3.97 states/eV/f.u.
formation enthalpy at 0 K: 0.34 eV/atom
theoretical density: 5.29 g cm⁻³

a b c (Å): 3.581 3.581 10.481
angles (deg): 80.16 80.16 60.00
Sites, in units of the cell vectors:
Fe 0.500 0.500 0.500
Sm 0.108 0.108 0.676
Sm 0.892 0.892 0.324
Li 0.000 0.000 0.000

=====

TcAgMo2 | PBE | relaxed

## Properties
DOS at the Fermi energy: 3.46 states/eV/f.u.
formation enthalpy at 0 K: 0.46 eV/atom
theoretical density: 10.48 g cm⁻³

a b c (Å): 4.832 4.832 4.832
angles (deg): 130.90 130.90 71.97
Sites, in units of the cell vectors:
Ag 0.750 0.250 0.500
Mo 0.000 0.000 0.000
Mo 0.250 0.750 0.500
Tc 0.500 0.500 0.000

=====

MgBr7 | PBE | relaxed

## Properties
ΔE_f (raw): 1.87 eV per formula unit
DOS at the Fermi energy: 10.49 states/eV/f.u.
theoretical density: 4.63 g cm⁻³

a b c (Å): 6.663 6.663 6.663
angles (deg): 60.00 60.00 60.00
Sites, in units of the cell vectors:
Mg 0.000 0.000 0.000
Br 0.500 0.000 0.500
Br 0.500 0.000 0.000
Br 0.500 0.500 0.000
Br 0.000 0.500 0.000
Br 0.000 0.500 0.500
Br 0.000 0.000 0.500
Br 0.500 0.500 0.500

=====

Tm3AlBi2 | PBE | relaxed

## Properties
DOS at the Fermi energy: 3.89 states/eV/f.u.
formation enthalpy at 0 K: -0.30 eV/atom
theoretical density: 8.87 g cm⁻³

a b c (Å): 3.530 6.158 8.756
angles (deg): 110.59 90.00 90.00
Sites, in units of the cell vectors:
Tm 0.500 0.856 0.712
Tm 0.500 0.144 0.288
Tm 0.000 0.500 0.000
Al 0.000 0.000 0.000
Bi 0.500 0.335 0.671
Bi 0.500 0.665 0.329

=====

ScMnIn2 | PBE | relaxed

## Properties
DOS at the Fermi energy: 3.81 states/eV/f.u.
formation enthalpy at 0 K: -0.12 eV/atom
theoretical density: 6.66 g cm⁻³

a b c (Å): 4.274 4.386 4.386
angles (deg): 90.00 90.00 90.00
Sites, in units of the cell vectors:
Sc 0.500 0.000 0.000
Mn 0.500 0.500 0.500
In 0.000 0.000 0.500
In 0.000 0.500 0.000

=====

CaTa2Cr | PBE | relaxed

## Properties
DOS at the Fermi energy: 4.20 states/eV/f.u.
formation enthalpy at 0 K: 0.57 eV/atom
theoretical density: 8.96 g cm⁻³

a b c (Å): 4.319 3.010 6.633
angles (deg): 77.37 90.00 90.00
Sites, in units of the cell vectors:
Cr 0.500 0.700 0.830
Ca 0.000 0.566 0.514
Ta 0.000 0.944 0.984
Ta 0.500 0.289 0.173

=====

NaZrHg | PBE | relaxed

## Properties
DOS at the Fermi energy: 2.53 states/eV/f.u.
formation enthalpy at 0 K: 0.12 eV/atom
theoretical density: 7.18 g cm⁻³

a b c (Å): 3.188 3.140 16.891
angles (deg): 90.00 90.00 120.50
Sites, in units of the cell vectors:
Hg 0.609 0.218 0.000
Hg 0.281 0.562 0.500
Na 0.617 0.234 0.334
Na 0.617 0.234 0.666
Zr 0.271 0.542 0.846
Zr 0.271 0.542 0.154

=====

PHSCl2 | PBE | relaxed

## Properties
DOS at the Fermi energy: 1.31 states/eV/f.u.
final energy: -11.94 eV/cell
theoretical density: 1.90 g cm⁻³

a b c (Å): 5.134 5.134 4.483
angles (deg): 90.00 90.00 90.00
Sites, in units of the cell vectors:
P 0.000 0.000 0.500
S 0.000 0.000 0.000
H 0.500 0.500 0.500
Cl 0.000 0.500 0.000
Cl 0.500 0.000 0.000

=====

NpPaAs2 | PBE | relaxed

## Properties
DOS at the Fermi energy: 11.11 states/eV/f.u.
formation enthalpy at 0 K: -0.88 eV/atom
theoretical density: 10.50 g cm⁻³

a b c (Å): 4.120 4.120 7.060
angles (deg): 73.03 73.03 60.00
Sites, in units of the cell vectors:
Np 0.500 0.500 0.500
As 0.750 0.750 0.751
As 0.250 0.250 0.249
Pa 0.000 0.000 0.000

=====

NaZrAs2Se | PBE | relaxed

## Properties
ΔE_f (raw): -1.71 eV per formula unit
DOS at the Fermi energy: 4.44 states/eV/f.u.
theoretical density: 3.93 g cm⁻³

a b c (Å): 5.239 5.239 5.282
angles (deg): 90.00 90.00 90.00
Sites, in units of the cell vectors:
Na 0.500 0.500 0.500
As 0.000 0.500 0.000
As 0.500 0.000 0.000
Se 0.000 0.000 0.500
Zr 0.000 0.000 0.000

=====

TaFe2P2 | PBE | relaxed

## Properties
DOS at the Fermi energy: 2.87 states/eV/f.u.
formation enthalpy at 0 K: -0.35 eV/atom
theoretical density: 9.75 g cm⁻³

a b c (Å): 6.697 6.697 2.693
angles (deg): 90.00 90.00 90.00
Sites, in units of the cell vectors:
P 0.351 0.851 0.000
P 0.851 0.649 0.000
P 0.649 0.149 0.000
P 0.149 0.351 0.000
Fe 0.140 0.640 0.500
Fe 0.640 0.860 0.500
Fe 0.860 0.360 0.500
Fe 0.360 0.140 0.500
Ta 0.000 0.000 0.000
Ta 0.500 0.500 0.000